(1)
This record from Alexandria via LeMat-Bulk describes crystalline Li2SmH4 at its relaxed geometry. The functional is PBE-GGA.

a = 4.3835 Å, b = 4.3835 Å, c = 6.2647 Å
α = 69.52°, β = 69.52°, γ = 90.00°
Atoms (fractional coordinates):
Li: 0.6433 0.6433 0.7134
Li: 0.3567 0.3567 0.2866
H: 0.1996 0.1996 0.6007
H: 0.0000 0.5000 0.0000
H: 0.8004 0.8004 0.3993
H: 0.5000 0.0000 0.0000
Sm: 0.0000 0.0000 0.0000

Values from the calculation:
Calculated total energy   -22.83 eV/cell

---

(2)
This record from Alexandria via LeMat-Bulk describes crystalline LiSmH at its relaxed geometry. The functional is PBE-GGA.

a = 3.5767 Å, b = 3.5767 Å, c = 8.1250 Å
α = 90.00°, β = 90.00°, γ = 90.00°
Atoms (fractional coordinates):
Li: 0.0000 0.5000 0.5843
Li: 0.5000 0.0000 0.4157
Sm: 0.0000 0.5000 0.1484
Sm: 0.5000 0.0000 0.8516
H: 0.5000 0.0000 0.1530
H: 0.0000 0.5000 0.8470

Values from the calculation:
Polymorph energy (0 for the lowest one)   0 meV per atom

---

(3)
This record from Alexandria via LeMat-Bulk describes crystalline LiSm3H3 at its relaxed geometry. The functional is PBE-GGA.

a = 6.5100 Å, b = 6.5100 Å, c = 6.5100 Å
α = 90.00°, β = 90.00°, γ = 90.00°
Atoms (fractional coordinates):
Sm: 0.7500 0.5000 0.0000
Sm: 0.5000 0.0000 0.7500
Sm: 0.5000 0.0000 0.2500
Sm: 0.0000 0.2500 0.5000
Sm: 0.0000 0.7500 0.5000
Sm: 0.2500 0.5000 0.0000
H: 0.0000 0.5000 0.2500
H: 0.7500 0.0000 0.5000
H: 0.0000 0.5000 0.7500
H: 0.5000 0.7500 0.0000
H: 0.5000 0.2500 0.0000
H: 0.2500 0.0000 0.5000
Li: 0.5000 0.5000 0.5000
Li: 0.0000 0.0000 0.0000

Values from the calculation:
Calculated total energy   -55.34 eV/cell

---

(4)
This record from Alexandria via LeMat-Bulk describes crystalline LiSmH at its relaxed geometry. The functional is PBE-GGA.

a = 3.3809 Å, b = 3.3809 Å, c = 5.7944 Å
α = 90.00°, β = 90.00°, γ = 120.00°
Atoms (fractional coordinates):
Sm: 0.3333 0.6667 0.5693
H: 0.6667 0.3333 0.3386
Li: 0.0000 0.0000 0.0921

Values from the calculation:
Polymorph energy (0 for the lowest one)   160 meV per atom

---

(5)
This record from Alexandria via LeMat-Bulk describes crystalline Li3Sm5H12 at its relaxed geometry. The functional is PBE-GGA.

a = 11.0976 Å, b = 11.0976 Å, c = 11.0976 Å
α = 109.47°, β = 109.47°, γ = 109.47°
Atoms (fractional coordinates):
H: 0.6766 0.7304 0.0808
H: 0.9462 0.6766 0.5958
H: 0.2304 0.1496 0.5538
H: 0.5538 0.9042 0.8234
H: 0.9042 0.3504 0.0808
H: 0.0808 0.2304 0.6766
H: 0.0958 0.6496 0.9192
H: 0.1766 0.5808 0.2304
H: 0.6496 0.5538 0.7304
H: 0.5958 0.1766 0.9462
H: 0.2696 0.3234 0.4192
H: 0.2304 0.0808 0.1766
H: 0.4042 0.8234 0.0538
H: 0.4192 0.5958 0.6496
H: 0.6766 0.9462 0.0958
H: 0.9192 0.7696 0.3234
H: 0.2696 0.9462 0.3504
H: 0.8504 0.7696 0.9462
H: 0.5808 0.4042 0.3504
H: 0.7304 0.0538 0.6496
H: 0.1496 0.2304 0.0538
H: 0.7304 0.6766 0.5808
H: 0.0538 0.7304 0.1496
H: 0.9192 0.1496 0.0958
H: 0.5958 0.4192 0.1496
H: 0.4042 0.5808 0.8504
H: 0.4462 0.0958 0.1766
H: 0.8504 0.0808 0.4042
H: 0.6496 0.0958 0.4192
H: 0.8234 0.4042 0.5538
H: 0.3234 0.2696 0.9192
H: 0.9462 0.2696 0.8504
H: 0.4192 0.8234 0.2696
H: 0.7696 0.8504 0.4462
H: 0.0808 0.8504 0.9042
H: 0.5538 0.6496 0.2304
H: 0.0958 0.4462 0.6766
H: 0.9042 0.5538 0.3234
H: 0.3504 0.9042 0.5808
H: 0.8234 0.4192 0.7696
H: 0.3234 0.0538 0.9042
H: 0.1496 0.9192 0.5958
H: 0.0538 0.3234 0.4042
H: 0.4462 0.3504 0.7696
H: 0.3504 0.4462 0.2696
H: 0.5808 0.1766 0.7304
H: 0.7696 0.9192 0.8234
H: 0.1766 0.5958 0.4462
Li: 0.6250 0.3750 0.7500
Li: 0.7500 0.3750 0.1250
Li: 0.2500 0.6250 0.8750
Li: 0.3750 0.6250 0.2500
Li: 0.8750 0.1250 0.2500
Li: 0.8750 0.7500 0.1250
Li: 0.6250 0.2500 0.3750
Li: 0.7500 0.8750 0.6250
Li: 0.1250 0.2500 0.8750
Li: 0.3750 0.7500 0.6250
Li: 0.2500 0.1250 0.3750
Li: 0.1250 0.8750 0.7500
Sm: 0.2500 0.3750 0.6250
Sm: 0.5000 0.5000 0.0000
Sm: 0.7500 0.6250 0.3750
Sm: 0.5000 0.5000 0.5000
Sm: 0.6250 0.8750 0.2500
Sm: 0.8750 0.6250 0.7500
Sm: 0.1250 0.7500 0.3750
Sm: 0.5000 0.0000 0.0000
Sm: 0.0000 0.0000 0.0000
Sm: 0.3750 0.2500 0.1250
Sm: 0.8750 0.2500 0.6250
Sm: 0.7500 0.1250 0.8750
Sm: 0.0000 0.5000 0.0000
Sm: 0.6250 0.7500 0.8750
Sm: 0.0000 0.5000 0.5000
Sm: 0.2500 0.8750 0.1250
Sm: 0.1250 0.3750 0.2500
Sm: 0.5000 0.0000 0.5000
Sm: 0.0000 0.0000 0.5000
Sm: 0.3750 0.1250 0.7500

Values from the calculation:
Calculated total energy   -311.88 eV/cell

---

(6)
This record from Alexandria via LeMat-Bulk describes crystalline Li2SmH6 at its relaxed geometry. The functional is PBE-GGA.

a = 5.3814 Å, b = 5.3815 Å, c = 5.3814 Å
α = 60.00°, β = 60.00°, γ = 60.00°
Atoms (fractional coordinates):
H: 0.2856 0.7144 0.7144
H: 0.7144 0.2856 0.7144
H: 0.7144 0.2856 0.2856
H: 0.7144 0.7144 0.2856
H: 0.2856 0.7144 0.2856
H: 0.2856 0.2856 0.7144
Sm: 0.0000 0.0000 0.0000
Li: 0.2500 0.2500 0.2500
Li: 0.7500 0.7500 0.7500

Values from the calculation:
Calculated total energy   -25.27 eV/cell

---

(7)
This record from Alexandria via LeMat-Bulk describes crystalline Li2Sm4H at its relaxed geometry. The functional is PBE-GGA.

a = 4.8328 Å, b = 4.8328 Å, c = 8.4596 Å
α = 73.40°, β = 73.40°, γ = 90.00°
Atoms (fractional coordinates):
Sm: 0.5000 0.0000 0.0000
Sm: 0.8222 0.8222 0.3556
Sm: 0.1778 0.1778 0.6444
Sm: 0.0000 0.5000 0.0000
H: 0.0000 0.0000 0.0000
Li: 0.6277 0.6277 0.7445
Li: 0.3723 0.3723 0.2555

Values from the calculation:
Calculated total energy   -25.29 eV/cell

---

(8)
This record from Alexandria via LeMat-Bulk describes crystalline LiSm2H at its relaxed geometry. The functional is PBE-GGA.

a = 3.5394 Å, b = 3.5394 Å, c = 9.4400 Å
α = 79.19°, β = 79.19°, γ = 60.00°
Atoms (fractional coordinates):
Sm: 0.8837 0.8837 0.3490
Sm: 0.1163 0.1163 0.6510
H: 0.5000 0.5000 0.5000
Li: 0.0000 0.0000 0.0000

Values from the calculation:
Calculated total energy   -14.75 eV/cell

---

| no. | calculated volume (Å³ per atom) |
| --- | --- |
| 1 | 14.94 |
| 2 | 17.32 |
| 3 | 19.71 |
| 4 | 19.12 |
| 5 | 13.15 |
| 6 | 12.24 |
| 7 | 25.82 |
| 8 | 25.00 |